DFT (PBE-GGA) results for a relaxed structure of PmBr2.

Symmetry = R-3m (166)
Polymorph energy (0 for the lowest one) = 0.047 eV/atom
Magnetic moment = 0.00 μB/f.u.
E_form (uncorrected) = -1650.2 meV/atom

Cell lengths 7.9039, 7.9039, 7.9039 Å; angles 29.18, 29.18, 29.18 degrees
Last column: nearest neighbours and their distance in Å.
Fractional positions:
Pm 0.0000 0.0000 0.0000  6 Br 2.97
Br 0.2507 0.2507 0.2507  3 Pm 2.97
Br 0.7493 0.7493 0.7493  3 Pm 2.97